<i>
HoThCo2: optimized geometry, PBE.

## Properties
**N(E_F)**: 0.82 states/eV/atom
**Magnetic moment**: 0.00 μB/cell

abc: 3.8433 3.8433 19.4169
angles: 90.00 90.00 120.00
Space group R-3m (No. 166, hexagonal axes)
Symmetry-distinct sites (fractional):
1 Ho 0.0000 0.0000 0.0000 [3 per cell]
2 Th 0.0000 0.0000 0.5000 [3 per cell]
3 Co 0.0000 0.0000 0.2484 [6 per cell]

<ii>
HoThCo2: optimized geometry, PBE.

## Properties
**N(E_F)**: 0.80 states/eV/atom
**Magnetic moment**: 0.00 μB/cell

abc: 3.953 5.640 7.149
angles: 90.00 90.00 90.00
Space group Pmc2_1 (No. 26)
Symmetry-distinct sites (fractional):
1 Ho 0.000 0.111 0.000 [2 per cell]
2 Th 0.500 0.389 0.642 [2 per cell]
3 Co 0.000 0.387 0.366 [2 per cell]
4 Co 0.500 0.125 0.283 [2 per cell]

Which is the most stable structure? <ii> is the most stable.

<i>
HoTh2Co: optimized geometry, PBE.

## Properties
**N(E_F)**: 1.13 states/eV/atom
**Magnetic moment**: 0.00 μB/cell

abc: 3.8113 3.8113 26.8361
angles: 90.00 90.00 120.00
Space group R3m (No. 160, hexagonal axes)
Symmetry-distinct sites (fractional):
1 Ho 0.0000 0.0000 0.0000 [3 per cell]
2 Th 0.0000 0.0000 0.2252 [3 per cell]
3 Th 0.0000 0.0000 0.4385 [3 per cell]
4 Co 0.0000 0.0000 0.8325 [3 per cell]

<ii>
HoTh2Co: optimized geometry, PBE.

## Properties
**N(E_F)**: 1.23 states/eV/atom
**Magnetic moment**: 0.00 μB/cell

abc: 6.981 9.863 6.159
angles: 90.00 90.00 90.00
Space group Pnma (No. 62)
Symmetry-distinct sites (fractional):
1 Ho 0.045 0.250 0.160 [4 per cell]
2 Th 0.177 0.068 0.669 [8 per cell]
3 Co 0.106 0.750 0.385 [4 per cell]

<iii>
HoTh2Co: optimized geometry, PBE.

## Properties
**N(E_F)**: 1.35 states/eV/atom
**Magnetic moment**: 0.00 μB/cell

abc: 3.7237 3.7237 30.1339
angles: 90.00 90.00 120.00
Space group R-3m (No. 166, hexagonal axes)
Symmetry-distinct sites (fractional):
1 Ho 0.0000 0.0000 0.0000 [3 per cell]
2 Th 0.0000 0.0000 0.1128 [6 per cell]
3 Co 0.0000 0.0000 0.5000 [3 per cell]

Which is the most stable structure? <ii> is the most stable.

<i>
HoTh2Co2: optimized geometry, PBE.

## Properties
**N(E_F)**: 0.96 states/eV/atom
**Magnetic moment**: 0.00 μB/cell

abc: 3.606 6.618 9.622
angles: 90.00 90.00 90.00
Space group Immm (No. 71)
Symmetry-distinct sites (fractional):
1 Ho 0.000 0.000 0.000 [2 per cell]
2 Th 0.000 0.500 0.184 [4 per cell]
3 Co 0.000 0.191 0.500 [4 per cell]

<ii>
HoTh2Co2: optimized geometry, PBE.

## Properties
**N(E_F)**: 0.93 states/eV/atom
**Magnetic moment**: 0.00 μB/cell

abc: 7.651 7.651 3.745
angles: 90.00 90.00 90.00
Space group P4/mbm (No. 127)
Symmetry-distinct sites (fractional):
1 Ho 0.000 0.000 0.000 [2 per cell]
2 Th 0.164 0.336 0.500 [4 per cell]
3 Co 0.130 0.630 0.000 [4 per cell]

Which is the most stable structure? <ii> is the most stable.

<i>
Ho5Tl2Co: optimized geometry, PBE.

## Properties
**N(E_F)**: 0.90 states/eV/atom
**Magnetic moment**: 0.00 μB/cell

abc: 5.147 16.777 12.385
angles: 90.00 90.00 90.00
Space group Cmcm (No. 63)
Symmetry-distinct sites (fractional):
1 Ho 0.000 0.082 0.106 [8 per cell]
2 Ho 0.000 0.290 0.750 [4 per cell]
3 Ho 0.000 0.296 0.084 [8 per cell]
4 Tl 0.000 0.105 0.634 [8 per cell]
5 Co 0.000 0.192 0.250 [4 per cell]

<ii>
Ho5Tl2Co: optimized geometry, PBE.

## Properties
**N(E_F)**: 0.87 states/eV/atom
**Magnetic moment**: 0.00 μB/cell

abc: 8.028 11.599 4.596
angles: 90.00 90.00 90.00
Space group Pbam (No. 55)
Symmetry-distinct sites (fractional):
1 Ho 0.000 0.000 0.000 [2 per cell]
2 Ho 0.141 0.304 0.000 [4 per cell]
3 Ho 0.180 0.567 0.500 [4 per cell]
4 Tl 0.067 0.830 0.500 [4 per cell]
5 Co 0.000 0.500 0.000 [2 per cell]

Which is the most stable structure? <ii> is the most stable.

<i>
Ho4TlCo: optimized geometry, PBE.

## Properties
**N(E_F)**: 1.14 states/eV/atom
**Magnetic moment**: 0.00 μB/cell

abc: 7.386 6.916 6.734
angles: 90.00 92.54 90.00
Space group P2_1/c (No. 14)
Symmetry-distinct sites (fractional):
1 Ho 0.131 0.161 0.179 [4 per cell]
2 Ho 0.305 0.635 0.106 [4 per cell]
3 Tl 0.500 0.000 0.000 [2 per cell]
4 Co 0.000 0.000 0.500 [2 per cell]

<ii>
Ho4TlCo: optimized geometry, PBE.

## Properties
**N(E_F)**: 0.72 states/eV/atom
**Magnetic moment**: 0.00 μB/cell

abc: 13.455 13.455 13.455
angles: 90.00 90.00 90.00
Space group F-43m (No. 216)
Symmetry-distinct sites (fractional):
1 Ho 0.000 0.000 0.188 [24 per cell]
2 Ho 0.059 0.250 0.250 [24 per cell]
3 Ho 0.153 0.153 0.653 [16 per cell]
4 Tl 0.085 0.085 0.415 [16 per cell]
5 Co 0.141 0.141 0.859 [16 per cell]

Which is the most stable structure? <ii> is the most stable.